A plane-wave DFT calculation with PBE was carried out for VCl3 after structural relaxation.

Cell lengths 8.687, 8.687, 4.844 Å; angles 90.00, 90.00, 90.00 degrees
Space group I-42d (No. 122)
One atom of each set of equivalent atoms:
V1 0.000 0.000 0.000 x4
Cl1 0.000 0.000 0.500 x4
Cl2 0.103 0.750 0.125 x8

## Properties
formation energy from raw total energies	-0.912	eV/atom
DFT total energy	-4.58	eV per atom
total moment	8.00	μB per cell

=====

A plane-wave DFT calculation with PBE was carried out for TaGaTc3 after structural relaxation.

Cell lengths 4.760, 4.760, 4.760 Å; angles 90.00, 90.00, 90.00 degrees
Space group Pm-3m (No. 221)
One atom of each set of equivalent atoms:
Ta1 0.000 0.000 0.000 x1
Ga1 0.500 0.500 0.500 x1
Tc1 0.000 0.000 0.500 x3

## Properties
relative energy among the computed polymorphs	475	meV per atom
DFT total energy	-7.50	eV per atom
total moment	2.97	μB per cell

=====

A plane-wave DFT calculation with PBE was carried out for ScCdRe2 after structural relaxation.

Cell lengths 4.574, 4.574, 6.505 Å; angles 90.00, 90.00, 90.00 degrees
Space group I-4m2 (No. 119)
One atom of each set of equivalent atoms:
Sc1 0.000 0.000 0.000 x2
Cd1 0.000 0.500 0.750 x2
Re1 0.000 0.000 0.500 x2
Re2 0.000 0.500 0.250 x2

## Properties
DFT total energy	-7.83	eV per atom
total moment	0.00	μB per cell

=====

A plane-wave DFT calculation with PBE was carried out for SrH after structural relaxation.

Cell lengths 5.823, 5.823, 5.823 Å; angles 90.00, 90.00, 90.00 degrees
Space group F-43m (No. 216)
One atom of each set of equivalent atoms:
Sr1 0.000 0.000 0.000 x4
H1 0.250 0.250 0.250 x4

## Properties
DFT total energy	-2.77	eV per atom
total moment	3.65	μB per cell